1.
An optimized crystal structure of Tb2Pm3PaN6. Source: Alexandria, functional GGA-PBE.

VASP energy = -8.527 eV per atom
Mass density = 9.3 g/cm³

a = 6.1379 Å, b = 6.1379 Å, c = 6.1677 Å
α = 99.53°, β = 99.53°, γ = 119.99°
Fractional coordinates of all 12 atoms:
Tb (0.3338, 0.6662, 0.0000)
Tb (0.6662, 0.3338, 0.0000)
Pm (0.1683, 0.8317, 0.5000)
Pm (0.8317, 0.1683, 0.5000)
Pm (0.5000, 0.5000, 0.5000)
Pa (0.0000, 0.0000, 0.0000)
N (0.9226, 0.6044, 0.7676)
N (0.7593, 0.7593, 0.2316)
N (0.0774, 0.3956, 0.2324)
N (0.6044, 0.9226, 0.7676)
N (0.2407, 0.2407, 0.7684)
N (0.3956, 0.0774, 0.2324)

=====

2.
An optimized crystal structure of PmPaTcN4. Source: Alexandria, functional GGA-PBE.

VASP energy = -9.267 eV per atom
Mass density = 9.5 g/cm³

a = 3.8582 Å, b = 3.8582 Å, c = 6.7853 Å
α = 106.52°, β = 106.52°, γ = 90.00°
Fractional coordinates of all 7 atoms:
Pm (0.6456, 0.6456, 0.2912)
Pa (0.3548, 0.3548, 0.7095)
Tc (0.9968, 0.9968, 0.9936)
N (0.9951, 0.4951, 0.9902)
N (0.4951, 0.9951, 0.9902)
N (0.8278, 0.8278, 0.6557)
N (0.1849, 0.1849, 0.3697)

=====

Question: What is the mass density in the second record?
Answer: 9.5 g/cm³